1.
Here is AgIr2Ru at its PBEsol-relaxed geometry from Alexandria. Energies are from SCAN.

## Properties
Magnetization, μB per cell: 1.47
N(E_F), states/eV per atom: 0.8065
E_form, meV per atom: 375.0
Total energy, eV/atom: -51.723
ΔE to the lowest computed polymorph, meV per atom: 190

Cell: 2.687 2.687 9.378 Å, 90.00 90.00 119.50°
Last column: magnetic moment on the atom in μB.
Fractional coordinates of all 4 atoms:
Ag (0.500, 0.500, 0.000)  0.01
Ir (0.000, 0.000, 0.262)  0.25
Ir (0.000, 0.000, 0.738)  0.25
Ru (0.500, 0.500, 0.500)  0.96



2.
Here is AgIr2Ru at its PBEsol-relaxed geometry from Alexandria. Energies are from SCAN.

## Properties
Magnetization, μB per cell: 2.20
N(E_F), states/eV per atom: 1.2928
E_form, meV per atom: 676.1
Total energy, eV/atom: -51.422
ΔE to the lowest computed polymorph, meV per atom: 491

Cell: 4.356 4.356 4.356 Å, 60.00 60.00 60.00°
Last column: magnetic moment on the atom in μB.
Fractional coordinates of all 4 atoms:
Ag (0.500, 0.500, 0.500)  0.03
Ir (0.000, 0.000, 0.000)  0.73
Ir (0.750, 0.750, 0.750)  0.31
Ru (0.250, 0.250, 0.250)  1.15



3.
Here is Ag2IrRu at its PBEsol-relaxed geometry from Alexandria. Energies are from SCAN.

## Properties
Magnetization, μB per cell: 1.88
N(E_F), states/eV per atom: 0.7310
E_form, meV per atom: 494.3
Total energy, eV/atom: -41.671
ΔE to the lowest computed polymorph, meV per atom: 285

Cell: 2.733 4.627 4.813 Å, 90.00 90.00 90.00°
Last column: magnetic moment on the atom in μB.
Fractional coordinates of all 4 atoms:
Ag (0.000, 0.000, 0.000)  0.01
Ag (0.500, 0.500, 0.000)  0.02
Ir (0.500, 0.000, 0.500)  0.50
Ru (0.000, 0.500, 0.500)  1.36



4.
Here is AgIrRu2 at its PBEsol-relaxed geometry from Alexandria. Energies are from SCAN.

## Properties
Magnetization, μB per cell: 1.91
N(E_F), states/eV per atom: 0.8627
E_form, meV per atom: 490.7
Total energy, eV/atom: -42.539

Cell: 2.663 2.663 9.423 Å, 90.00 90.00 119.16°
Last column: magnetic moment on the atom in μB.
Fractional coordinates of all 4 atoms:
Ag (0.500, 0.500, 0.500)  -0.01
Ir (0.500, 0.500, 0.000)  0.20
Ru (0.000, 0.000, 0.240)  0.87
Ru (0.000, 0.000, 0.760)  0.87



5.
Here is AgIr2Ru at its PBEsol-relaxed geometry from Alexandria. Energies are from SCAN.

## Properties
Magnetization, μB per cell: 0.00
N(E_F), states/eV per atom: 0.8338
E_form, meV per atom: 185.4
Total energy, eV/atom: -51.912
ΔE to the lowest computed polymorph, meV per atom: 0

Cell: 2.714 2.714 7.843 Å, 90.00 90.00 90.00°
Fractional coordinates of all 4 atoms:
Ag (0.500, 0.500, 0.500)
Ir (0.000, 0.000, 0.769)
Ir (0.000, 0.000, 0.231)
Ru (0.500, 0.500, 0.000)



6.
Here is AgIr2Ru at its PBEsol-relaxed geometry from Alexandria. Energies are from SCAN.

## Properties
Magnetization, μB per cell: 0.81
N(E_F), states/eV per atom: 0.9365
E_form, meV per atom: 316.3
Total energy, eV/atom: -51.782
ΔE to the lowest computed polymorph, meV per atom: 131

Cell: 2.718 4.729 4.731 Å, 99.50 106.70 90.00°
Last column: magnetic moment on the atom in μB.
Fractional coordinates of all 4 atoms:
Ag (0.000, 0.500, 0.000)  0.04
Ir (0.243, 0.239, 0.485)  0.06
Ir (0.757, 0.761, 0.515)  0.06
Ru (0.500, 0.000, 0.000)  0.65



7.
Here is Ag2IrRu at its PBEsol-relaxed geometry from Alexandria. Energies are from SCAN.

## Properties
Magnetization, μB per cell: 2.78
N(E_F), states/eV per atom: 0.6716
E_form, meV per atom: 615.2
Total energy, eV/atom: -41.550
ΔE to the lowest computed polymorph, meV per atom: 406

Cell: 2.652 4.295 5.289 Å, 90.00 90.00 90.00°
Last column: magnetic moment on the atom in μB.
Fractional coordinates of all 4 atoms:
Ag (0.000, 0.000, 0.749)  0.03
Ag (0.000, 0.000, 0.251)  0.03
Ir (0.500, 0.500, 0.000)  0.96
Ru (0.500, 0.500, 0.500)  1.82



8.
Here is AgIr2Ru at its PBEsol-relaxed geometry from Alexandria. Energies are from SCAN.

## Properties
Magnetization, μB per cell: 1.72
N(E_F), states/eV per atom: 0.9817
E_form, meV per atom: 437.8
Total energy, eV/atom: -51.660
ΔE to the lowest computed polymorph, meV per atom: 252

Cell: 2.710 4.745 4.745 Å, 109.81 90.00 90.00°
Last column: magnetic moment on the atom in μB.
Fractional coordinates of all 4 atoms:
Ag (0.500, 0.500, 0.500)  0.14
Ir (0.000, 0.500, 0.000)  0.49
Ir (0.000, 0.000, 0.500)  0.49
Ru (0.500, 0.000, 0.000)  0.64



9.
Here is AgIr2Ru at its PBEsol-relaxed geometry from Alexandria. Energies are from SCAN.

## Properties
Magnetization, μB per cell: 1.74
N(E_F), states/eV per atom: 0.9349
E_form, meV per atom: 574.9
Total energy, eV/atom: -51.523
ΔE to the lowest computed polymorph, meV per atom: 389

Cell: 2.703 4.641 4.669 Å, 90.00 90.00 90.00°
Last column: magnetic moment on the atom in μB.
Fractional coordinates of all 4 atoms:
Ag (0.000, 0.500, 0.500)  0.03
Ir (0.000, 0.000, 0.000)  0.28
Ir (0.500, 0.000, 0.500)  0.19
Ru (0.500, 0.500, 0.000)  1.24



10.
Here is AgIrRu2Se at its PBEsol-relaxed geometry from Alexandria. Energies are from SCAN.

## Properties
Magnetization, μB per cell: 2.36
Energy relative to the elements, uncorrected, meV/atom: 1496
N(E_F), states/eV per atom: 0.8539
Total energy, eV/atom: -36.943

Cell: 4.609 4.609 4.948 Å, 90.00 90.00 90.00°
Last column: magnetic moment on the atom in μB.
Fractional coordinates of all 5 atoms:
Ru (0.000, 0.500, 0.000)  1.05
Ru (0.500, 0.000, 0.000)  1.05
Ir (0.000, 0.000, 0.000)  0.04
Se (0.500, 0.500, 0.500)  0.06
Ag (0.000, 0.000, 0.500)  0.00



11.
Here is AgSbIr2 at its PBEsol-relaxed geometry from Alexandria. Energies are from SCAN.

## Properties
Magnetization, μB per cell: 0.00
Energy relative to the elements, uncorrected, meV/atom: 279
N(E_F), states/eV per atom: 0.3540
Total energy, eV/atom: -52.427

Cell: 4.214 4.664 4.214 Å, 63.14 90.00 116.86°
Fractional coordinates of all 4 atoms:
Sb (0.500, 0.000, 0.500)
Ir (0.250, 0.500, 0.250)
Ir (0.750, 0.500, 0.750)
Ag (0.000, 0.000, 0.000)



12.
Here is Ag2SbIr at its PBEsol-relaxed geometry from Alexandria. Energies are from SCAN.

## Properties
Magnetization, μB per cell: 0.00
Energy relative to the elements, uncorrected, meV/atom: 262
N(E_F), states/eV per atom: 0.5119
Total energy, eV/atom: -42.511

Cell: 4.156 4.150 4.919 Å, 114.95 114.99 90.00°
Fractional coordinates of all 4 atoms:
Sb (0.250, 0.750, 0.501)
Ir (0.500, 0.500, 0.999)
Ag (0.000, 0.000, 0.001)
Ag (0.750, 0.250, 0.500)



Q: Among the records above, which one has the lowest N(E_F)?
A: AgSbIr2